Entry 1:
The following is a PBE calculation of Pr2MnP2N6 after structural relaxation, from the Alexandria database.

a = 6.089 Å, b = 6.089 Å, c = 6.089 Å
α = 53.19°, β = 53.19°, γ = 53.19°
Atoms (fractional coordinates):
1 Pr 0.221 0.221 0.221
2 Pr 0.779 0.779 0.779
3 Mn 0.000 0.000 0.000
4 P 0.432 0.432 0.432
5 P 0.568 0.568 0.568
6 N 0.244 0.244 0.752
7 N 0.244 0.752 0.244
8 N 0.248 0.756 0.756
9 N 0.752 0.244 0.244
10 N 0.756 0.248 0.756
11 N 0.756 0.756 0.248

* raw formation energy: -0.747 eV per atom
* M_tot: 3.00 Bohr magnetons per cell
* E: -87.7 eV per cell

Entry 2:
The following is a PBE calculation of Pm6Ho7Er16 after structural relaxation, from the Alexandria database.

a = 11.090 Å, b = 11.090 Å, c = 11.090 Å
α = 60.00°, β = 60.00°, γ = 60.00°
Atoms (fractional coordinates):
1 Pm 0.226 0.226 0.774
2 Pm 0.226 0.774 0.226
3 Pm 0.226 0.774 0.774
4 Pm 0.774 0.226 0.226
5 Pm 0.774 0.226 0.774
6 Pm 0.774 0.774 0.226
7 Ho 0.000 0.000 0.500
8 Ho 0.000 0.500 0.000
9 Ho 0.000 0.500 0.500
10 Ho 0.500 0.000 0.000
11 Ho 0.500 0.000 0.500
12 Ho 0.500 0.500 0.000
13 Ho 0.500 0.500 0.500
14 Er 0.124 0.625 0.625
15 Er 0.151 0.151 0.151
16 Er 0.151 0.151 0.547
17 Er 0.151 0.547 0.151
18 Er 0.375 0.375 0.375
19 Er 0.375 0.375 0.876
20 Er 0.375 0.876 0.375
21 Er 0.453 0.849 0.849
22 Er 0.547 0.151 0.151
23 Er 0.625 0.124 0.625
24 Er 0.625 0.625 0.124
25 Er 0.625 0.625 0.625
26 Er 0.849 0.453 0.849
27 Er 0.849 0.849 0.453
28 Er 0.849 0.849 0.849
29 Er 0.876 0.375 0.375

* M_tot: 0.00 Bohr magnetons per cell
* formation energy: 0.245 eV per atom
* E: -126.5 eV per cell

Entry 3:
The following is a PBE calculation of AlPW3 after structural relaxation, from the Alexandria database.

a = 4.448 Å, b = 4.448 Å, c = 4.448 Å
α = 90.00°, β = 90.00°, γ = 90.00°
Atoms (fractional coordinates):
1 Al 0.000 0.000 0.000
2 P 0.500 0.500 0.500
3 W 0.000 0.500 0.500
4 W 0.500 0.000 0.500
5 W 0.500 0.500 0.000

* M_tot: 0.00 Bohr magnetons per cell
* formation energy: 0.799 eV per atom
* E: -44.0 eV per cell
* offset from the most stable computed form: 0 meV/atom

Entry 4:
The following is a PBE calculation of TmThAu after structural relaxation, from the Alexandria database.

a = 4.937 Å, b = 4.937 Å, c = 3.900 Å
α = 90.00°, β = 90.00°, γ = 120.00°
Atoms (fractional coordinates):
1 Tm 0.000 0.000 0.000
2 Th 0.333 0.667 0.506
3 Au 0.667 0.333 0.057

* M_tot: 0.00 Bohr magnetons per cell
* formation energy: -0.263 eV per atom
* E: -16.0 eV per cell
* offset from the most stable computed form: 196 meV/atom

Entry 5:
The following is a PBE calculation of NaBeSe after structural relaxation, from the Alexandria database.

a = 7.930 Å, b = 7.360 Å, c = 6.857 Å
α = 67.70°, β = 59.17°, γ = 53.13°
Atoms (fractional coordinates):
1 Na 0.027 0.027 0.723
2 Na 0.277 0.277 0.973
3 Na 0.723 0.723 0.027
4 Na 0.973 0.973 0.277
5 Be 0.000 0.500 0.500
6 Be 0.500 0.000 0.500
7 Be 0.500 0.500 0.000
8 Be 0.500 0.500 0.500
9 Se 0.146 0.604 0.604
10 Se 0.396 0.854 0.854
11 Se 0.604 0.146 0.146
12 Se 0.854 0.396 0.396

* raw formation energy: -0.099 eV per atom
* M_tot: 0.00 Bohr magnetons per cell
* E: -35.3 eV per cell

Entry 6:
The following is a PBE calculation of CeTa2NiN4 after structural relaxation, from the Alexandria database.

a = 5.534 Å, b = 5.534 Å, c = 10.782 Å
α = 90.00°, β = 90.00°, γ = 146.03°
Atoms (fractional coordinates):
1 Ce 0.110 0.890 0.750
2 Ce 0.890 0.110 0.250
3 Ta 0.372 0.628 0.555
4 Ta 0.372 0.628 0.945
5 Ta 0.628 0.372 0.055
6 Ta 0.628 0.372 0.445
7 Ni 0.159 0.841 0.250
8 Ni 0.841 0.159 0.750
9 N 0.000 0.000 0.000
10 N 0.000 0.000 0.500
11 N 0.270 0.730 0.108
12 N 0.270 0.730 0.392
13 N 0.448 0.552 0.750
14 N 0.552 0.448 0.250
15 N 0.730 0.270 0.608
16 N 0.730 0.270 0.892

* raw formation energy: -1.023 eV per atom
* M_tot: 0.94 Bohr magnetons per cell
* E: -153.8 eV per cell

Entry 7:
The following is a PBE calculation of KLaY2 after structural relaxation, from the Alexandria database.

a = 3.663 Å, b = 3.663 Å, c = 11.862 Å
α = 90.00°, β = 90.00°, γ = 90.00°
Atoms (fractional coordinates):
1 K 0.000 0.000 0.000
2 La 0.500 0.500 0.299
3 Y 0.000 0.000 0.514
4 Y 0.500 0.500 0.714

* M_tot: 0.40 Bohr magnetons per cell
* formation energy: 0.218 eV per atom
* E: -18.1 eV per cell
* offset from the most stable computed form: 31 meV/atom

Entry 8:
The following is a PBE calculation of Pr12SmTm6 after structural relaxation, from the Alexandria database.

a = 8.716 Å, b = 8.716 Å, c = 8.716 Å
α = 88.76°, β = 88.76°, γ = 88.76°
Atoms (fractional coordinates):
1 Pr 0.018 0.365 0.193
2 Pr 0.193 0.018 0.365
3 Pr 0.217 0.567 0.465
4 Pr 0.365 0.193 0.018
5 Pr 0.433 0.535 0.783
6 Pr 0.465 0.217 0.567
7 Pr 0.535 0.783 0.433
8 Pr 0.567 0.465 0.217
9 Pr 0.635 0.807 0.982
10 Pr 0.783 0.433 0.535
11 Pr 0.807 0.982 0.635
12 Pr 0.982 0.635 0.807
13 Sm 0.000 0.000 0.000
14 Tm 0.101 0.258 0.705
15 Tm 0.258 0.705 0.101
16 Tm 0.295 0.899 0.742
17 Tm 0.705 0.101 0.258
18 Tm 0.742 0.295 0.899
19 Tm 0.899 0.742 0.295

* M_tot: 0.00 Bohr magnetons per cell
* formation energy: 0.126 eV per atom
* E: -86.5 eV per cell
* offset from the most stable computed form: 0 meV/atom

Entry 9:
The following is a PBE calculation of SnOsO2 after structural relaxation, from the Alexandria database.

a = 4.022 Å, b = 4.022 Å, c = 13.454 Å
α = 90.00°, β = 90.00°, γ = 90.00°
Atoms (fractional coordinates):
1 Sn 0.000 0.000 0.000
2 Sn 0.000 0.500 0.250
3 Sn 0.500 0.000 0.750
4 Sn 0.500 0.500 0.500
5 Os 0.000 0.000 0.500
6 Os 0.000 0.500 0.750
7 Os 0.500 0.000 0.250
8 Os 0.500 0.500 0.000
9 O 0.188 0.250 0.625
10 O 0.250 0.688 0.875
11 O 0.250 0.812 0.375
12 O 0.312 0.250 0.125
13 O 0.688 0.750 0.125
14 O 0.750 0.188 0.375
15 O 0.750 0.312 0.875
16 O 0.812 0.750 0.625

* raw formation energy: -0.131 eV per atom
* M_tot: 0.00 Bohr magnetons per cell
* E: -102.7 eV per cell

Entry 10:
The following is a PBE calculation of Ba2SiBiI after structural relaxation, from the Alexandria database.

a = 6.799 Å, b = 6.799 Å, c = 6.104 Å
α = 90.00°, β = 90.00°, γ = 90.00°
Atoms (fractional coordinates):
1 Ba 0.000 0.500 0.000
2 Ba 0.500 0.000 0.000
3 Si 0.000 0.000 0.500
4 Bi 0.500 0.500 0.000
5 I 0.500 0.500 0.500

* raw formation energy: 0.117 eV per atom
* M_tot: 2.21 Bohr magnetons per cell
* E: -14.1 eV per cell

Entry 11:
The following is a PBE calculation of CsPuHgCl6 after structural relaxation, from the Alexandria database.

a = 9.997 Å, b = 9.997 Å, c = 9.997 Å
α = 123.46°, β = 118.29°, γ = 88.55°
Atoms (fractional coordinates):
1 Cs 0.446 0.196 0.250
2 Cs 0.554 0.804 0.750
3 Pu 0.000 0.500 0.500
4 Pu 0.500 0.500 0.000
5 Hg 0.000 0.000 0.500
6 Hg 0.000 0.500 0.000
7 Cl 0.059 0.809 0.250
8 Cl 0.175 0.432 0.358
9 Cl 0.175 0.818 0.743
10 Cl 0.192 0.442 0.750
11 Cl 0.425 0.182 0.858
12 Cl 0.425 0.568 0.243
13 Cl 0.575 0.432 0.757
14 Cl 0.575 0.818 0.142
15 Cl 0.808 0.558 0.250
16 Cl 0.825 0.182 0.257
17 Cl 0.825 0.568 0.642
18 Cl 0.941 0.191 0.750

* raw formation energy: -1.472 eV per atom
* M_tot: 8.59 Bohr magnetons per cell
* E: -79.6 eV per cell

Entry 12:
The following is a PBE calculation of AlSiRh2 after structural relaxation, from the Alexandria database.

a = 3.222 Å, b = 3.222 Å, c = 5.397 Å
α = 90.00°, β = 90.00°, γ = 90.00°
Atoms (fractional coordinates):
1 Al 0.000 0.000 0.000
2 Si 0.500 0.500 0.709
3 Rh 0.000 0.000 0.535
4 Rh 0.500 0.500 0.181

* raw formation energy: -0.691 eV per atom
* M_tot: 0.00 Bohr magnetons per cell
* E: -26.6 eV per cell

Entry 13:
The following is a PBE calculation of HgOs2Pt after structural relaxation, from the Alexandria database.

a = 9.255 Å, b = 2.808 Å, c = 5.036 Å
α = 90.00°, β = 99.13°, γ = 90.00°
Atoms (fractional coordinates):
1 Hg 0.000 0.000 0.000
2 Hg 0.500 0.500 0.000
3 Os 0.005 0.500 0.515
4 Os 0.242 0.000 0.694
5 Os 0.505 0.000 0.515
6 Os 0.742 0.500 0.694
7 Pt 0.257 0.500 0.238
8 Pt 0.757 0.000 0.238

* M_tot: 0.00 Bohr magnetons per cell
* formation energy: 0.541 eV per atom
* E: -53.3 eV per cell

Entry 14:
The following is a PBE calculation of Hf12Pt6N after structural relaxation, from the Alexandria database.

a = 7.445 Å, b = 7.445 Å, c = 7.445 Å
α = 99.37°, β = 99.37°, γ = 99.37°
Atoms (fractional coordinates):
1 Hf 0.002 0.306 0.067
2 Hf 0.067 0.002 0.306
3 Hf 0.187 0.419 0.559
4 Hf 0.306 0.067 0.002
5 Hf 0.419 0.559 0.187
6 Hf 0.441 0.813 0.581
7 Hf 0.559 0.187 0.419
8 Hf 0.581 0.441 0.813
9 Hf 0.694 0.933 0.998
10 Hf 0.813 0.581 0.441
11 Hf 0.933 0.998 0.694
12 Hf 0.998 0.694 0.933
13 Pt 0.124 0.649 0.304
14 Pt 0.304 0.124 0.649
15 Pt 0.351 0.696 0.876
16 Pt 0.649 0.304 0.124
17 Pt 0.696 0.876 0.351
18 Pt 0.876 0.351 0.696
19 N 0.000 0.000 0.000

* raw formation energy: -0.649 eV per atom
* M_tot: 0.00 Bohr magnetons per cell
* E: -176.4 eV per cell

Entry 15:
The following is a PBE calculation of Na3Ac2NpS6 after structural relaxation, from the Alexandria database.

a = 7.399 Å, b = 7.399 Å, c = 7.134 Å
α = 99.93°, β = 99.93°, γ = 120.03°
Atoms (fractional coordinates):
1 Na 0.000 0.000 0.000
2 Na 0.337 0.663 0.000
3 Na 0.663 0.337 0.000
4 Ac 0.167 0.833 0.500
5 Ac 0.833 0.167 0.500
6 Np 0.500 0.500 0.500
7 S 0.103 0.421 0.263
8 S 0.260 0.260 0.733
9 S 0.421 0.103 0.263
10 S 0.579 0.897 0.737
11 S 0.740 0.740 0.267
12 S 0.897 0.579 0.737

* raw formation energy: -1.636 eV per atom
* M_tot: 4.00 Bohr magnetons per cell
* E: -69.5 eV per cell

Entry 16:
The following is a PBE calculation of Ho2Mg2Co15 after structural relaxation, from the Alexandria database.

a = 6.336 Å, b = 6.336 Å, c = 6.336 Å
α = 83.25°, β = 83.25°, γ = 83.25°
Atoms (fractional coordinates):
1 Ho 0.147 0.147 0.147
2 Ho 0.853 0.853 0.853
3 Mg 0.394 0.394 0.394
4 Mg 0.606 0.606 0.606
5 Co 0.000 0.500 0.500
6 Co 0.147 0.147 0.657
7 Co 0.147 0.657 0.147
8 Co 0.207 0.500 0.793
9 Co 0.207 0.793 0.500
10 Co 0.343 0.853 0.853
11 Co 0.500 0.000 0.500
12 Co 0.500 0.207 0.793
13 Co 0.500 0.500 0.000
14 Co 0.500 0.793 0.207
15 Co 0.657 0.147 0.147
16 Co 0.793 0.207 0.500
17 Co 0.793 0.500 0.207
18 Co 0.853 0.343 0.853
19 Co 0.853 0.853 0.343

* M_tot: 20.31 Bohr magnetons per cell
* formation energy: -0.075 eV per atom
* E: -120.4 eV per cell

Entry 17:
The following is a PBE calculation of Ho2Er4Tl3H2 after structural relaxation, from the Alexandria database.

a = 12.591 Å, b = 12.591 Å, c = 12.591 Å
α = 158.48°, β = 158.48°, γ = 30.62°
Atoms (fractional coordinates):
1 Ho 0.197 0.197 0.000
2 Ho 0.803 0.803 0.000
3 Er 0.084 0.584 0.500
4 Er 0.416 0.916 0.500
5 Er 0.584 0.084 0.500
6 Er 0.916 0.416 0.500
7 Tl 0.326 0.326 0.000
8 Tl 0.500 0.500 0.000
9 Tl 0.674 0.674 0.000
10 H 0.101 0.101 0.000
11 H 0.899 0.899 0.000

* M_tot: 0.00 Bohr magnetons per cell
* E: -44.1 eV per cell

Entry 18:
The following is a PBE calculation of AcCeSb2Rh5 after structural relaxation, from the Alexandria database.

a = 4.134 Å, b = 4.134 Å, c = 12.130 Å
α = 90.00°, β = 90.00°, γ = 90.00°
Atoms (fractional coordinates):
1 Ac 0.000 0.000 0.000
2 Ce 0.500 0.500 0.500
3 Sb 0.500 0.500 0.213
4 Sb 0.500 0.500 0.787
5 Rh 0.000 0.500 0.345
6 Rh 0.000 0.500 0.655
7 Rh 0.500 0.000 0.345
8 Rh 0.500 0.000 0.655
9 Rh 0.500 0.500 0.000

* raw formation energy: -0.408 eV per atom
* M_tot: 0.00 Bohr magnetons per cell
* E: -58.7 eV per cell

Entry 19:
The following is a PBE calculation of LaTm2Th4 after structural relaxation, from the Alexandria database.

a = 3.572 Å, b = 36.118 Å, c = 3.547 Å
α = 90.00°, β = 90.00°, γ = 90.00°
Atoms (fractional coordinates):
1 La 0.000 0.000 0.000
2 La 0.500 0.500 0.000
3 Tm 0.000 0.291 0.500
4 Tm 0.000 0.709 0.500
5 Tm 0.500 0.209 0.500
6 Tm 0.500 0.791 0.500
7 Th 0.000 0.142 0.000
8 Th 0.000 0.426 0.500
9 Th 0.000 0.574 0.500
10 Th 0.000 0.858 0.000
11 Th 0.500 0.074 0.500
12 Th 0.500 0.358 0.000
13 Th 0.500 0.642 0.000
14 Th 0.500 0.926 0.500

* M_tot: 0.00 Bohr magnetons per cell
* formation energy: 0.092 eV per atom
* E: -85.8 eV per cell

Entry 20:
The following is a PBE calculation of SbCl after structural relaxation, from the Alexandria database.

a = 12.777 Å, b = 12.777 Å, c = 3.234 Å
α = 90.00°, β = 90.00°, γ = 90.00°
Atoms (fractional coordinates):
1 Sb 0.079 0.166 0.000
2 Sb 0.166 0.921 0.000
3 Sb 0.334 0.579 0.500
4 Sb 0.421 0.334 0.500
5 Sb 0.579 0.666 0.500
6 Sb 0.666 0.421 0.500
7 Sb 0.834 0.079 0.000
8 Sb 0.921 0.834 0.000
9 Cl 0.104 0.725 0.000
10 Cl 0.225 0.396 0.500
11 Cl 0.275 0.104 0.000
12 Cl 0.396 0.775 0.500
13 Cl 0.604 0.225 0.500
14 Cl 0.725 0.896 0.000
15 Cl 0.775 0.604 0.500
16 Cl 0.896 0.275 0.000

* raw formation energy: -0.262 eV per atom
* M_tot: 0.00 Bohr magnetons per cell
* E: -51.9 eV per cell
* offset from the most stable computed form: 213 meV/atom

Entry 21:
The following is a PBE calculation of Ba2GaTe after structural relaxation, from the Alexandria database.

a = 9.080 Å, b = 9.080 Å, c = 8.513 Å
α = 90.00°, β = 90.00°, γ = 90.00°
Atoms (fractional coordinates):
1 Ba 0.249 0.250 0.125
2 Ba 0.250 0.749 0.375
3 Ba 0.250 0.751 0.875
4 Ba 0.251 0.250 0.625
5 Ba 0.749 0.750 0.625
6 Ba 0.750 0.249 0.875
7 Ba 0.750 0.251 0.375
8 Ba 0.751 0.750 0.125
9 Ga 0.000 0.000 0.000
10 Ga 0.000 0.500 0.250
11 Ga 0.500 0.000 0.750
12 Ga 0.500 0.500 0.500
13 Te 0.000 0.000 0.500
14 Te 0.000 0.500 0.750
15 Te 0.500 0.000 0.250
16 Te 0.500 0.500 0.000

* raw formation energy: -0.657 eV per atom
* M_tot: 3.63 Bohr magnetons per cell
* E: -50.6 eV per cell
* offset from the most stable computed form: 368 meV/atom